Material: CaCrSb2
Method: DFT, PBE-GGA
State: optimized geometry

Properties
Relative energy among the computed polymorphs ... 0.218 eV/atom
D(E_F) ... 2.5 states/eV per cell
Final energy ... -5.09 eV per atom

a = 5.448 Å, b = 5.448 Å, c = 3.366 Å
α = 90.00°, β = 90.00°, γ = 90.00°
Fractional coordinates of all 4 atoms:
Ca1 0.000 0.000 0.000
Cr1 0.500 0.500 0.004
Sb1 0.000 0.500 0.500
Sb2 0.500 0.000 0.500



Material: CaCr2Sb
Method: DFT, PBE-GGA
State: optimized geometry

Properties
D(E_F) ... 2.9 states/eV per cell
Final energy ... -5.96 eV per atom

a = 4.496 Å, b = 4.646 Å, c = 4.684 Å
α = 90.00°, β = 90.00°, γ = 90.00°
Fractional coordinates of all 4 atoms:
Ca1 0.000 0.000 0.000
Cr1 0.198 0.500 0.500
Cr2 0.802 0.500 0.500
Sb1 0.500 0.000 0.500



Material: Ca2CrSb
Method: DFT, PBE-GGA
State: optimized geometry

Properties
D(E_F) ... 3.5 states/eV per cell
Final energy ... -4.45 eV per atom

a = 3.754 Å, b = 3.754 Å, c = 8.349 Å
α = 90.00°, β = 90.00°, γ = 90.00°
Fractional coordinates of all 4 atoms:
Ca1 0.000 0.000 0.000
Ca2 0.500 0.500 0.358
Cr1 0.000 0.000 0.622
Sb1 0.500 0.500 0.748